First-principles (PBE-GGA) data for an optimized crystal structure of CaEr2Hg, as listed in Alexandria.

Geometry as POSCAR:
```
CaEr2Hg
1.0
3.6083 0.0000 0.0000
1.8042 3.1249 0.0000
1.8042 1.0416 11.3843
Ca Hg Er
1 1 2
Direct
0.0000 0.0000 0.0000
0.5000 0.5000 0.5000
0.0989 0.0989 0.7033
0.9011 0.9011 0.2967
```

## Properties
- Energy above the lowest structure with this stoichiometry: 181 meV/atom
- Formation energy: 39 meV/atom
- Volume: 32.091 Å³ per atom
- Space group: R-3m
- Size of the total moment: 0.000 Bohr magnetons per cell

First-principles (PBE-GGA) data for an optimized crystal structure of CaEr5Hg6, as listed in Alexandria.

Geometry as POSCAR:
```
CaEr5Hg6
1.0
-4.9506 1.5872 -0.6372
-2.3708 -6.8364 1.3910
-2.9139 2.5081 7.3599
Ca Hg Er
1 6 5
Direct
0.0000 0.0000 0.0000
0.8309 0.7456 0.3381
0.8309 0.2544 0.3381
0.5000 0.2571 0.0000
0.5000 0.7429 0.0000
0.1691 0.7456 0.6619
0.1691 0.2544 0.6619
0.6651 0.5000 0.6699
0.3343 0.0000 0.3315
0.0000 0.5000 0.0000
0.6657 0.0000 0.6685
0.3349 0.5000 0.3301
```

## Properties
- Formation energy: -496 meV/atom
- Volume: 25.342 Å³ per atom
- Space group: Cmmm
- Size of the total moment: 0.000 Bohr magnetons per cell

What did the first record say?
First-principles (PBE-GGA) data for an optimized crystal structure of CaEr2Hg, as listed in Alexandria.

Geometry as POSCAR:
```
CaEr2Hg
1.0
3.6083 0.0000 0.0000
1.8042 3.1249 0.0000
1.8042 1.0416 11.3843
Ca Hg Er
1 1 2
Direct
0.0000 0.0000 0.0000
0.5000 0.5000 0.5000
0.0989 0.0989 0.7033
0.9011 0.9011 0.2967
```

## Properties
- Energy above the lowest structure with this stoichiometry: 181 meV/atom
- Formation energy: 39 meV/atom
- Volume: 32.091 Å³ per atom
- Space group: R-3m
- Size of the total moment: 0.000 Bohr magnetons per cell

Question: Look up the volume of the second one.
Answer: 25.342 Å³ per atom

Question: Which of these has the highest volume?
Answer: CaEr2Hg

Question: Which of these has the lowest volume?
Answer: CaEr5Hg6